No. 1
ThSbRh3: relaxed, PBE-GGA.

Energy relative to the elements, uncorrected = -660 meV/atom
Symmetry = Imma (74)
Total energy = -7.3797 eV per atom
Polymorph energy (0 for the lowest one) = 0 meV/atom
DOS at the Fermi energy = 4.4 states/eV/f.u.
Mass density = 11.26 Mg/m³

Cell lengths 6.532, 6.532, 6.532 Å; angles 128.52, 105.80, 96.02 degrees
Sites, in units of the cell vectors:
Th  0.259  0.009  0.250
Th  0.741  0.991  0.750
Sb  0.000  0.500  0.500
Sb  0.500  0.500  0.000
Rh  0.050  0.300  0.750
Rh  0.309  0.000  0.809
Rh  0.309  0.500  0.309
Rh  0.691  0.000  0.191
Rh  0.691  0.500  0.691
Rh  0.950  0.700  0.250

No. 2
Th2SbRh4: relaxed, PBE-GGA.

Energy relative to the elements, uncorrected = -614 meV/atom
Symmetry = P-1 (2)
Total energy = -7.5234 eV per atom
DOS at the Fermi energy = 4.4 states/eV/f.u.
Mass density = 10.42 Mg/m³

Cell lengths 5.035, 5.091, 6.996 Å; angles 71.43, 82.81, 69.25 degrees
Sites, in units of the cell vectors:
Th  0.001  0.147  0.211
Th  0.999  0.853  0.789
Sb  0.500  0.500  0.500
Rh  0.000  0.500  0.500
Rh  0.303  0.186  0.862
Rh  0.500  0.000  0.500
Rh  0.697  0.814  0.138